No. 1
# HfGaO2F | the Alexandria database | SCAN | PBEsol geometry
data_HfGaO2F
_cell_length_a 3.823
_cell_length_b 3.823
_cell_length_c 3.886
_cell_angle_alpha 90.00
_cell_angle_beta 90.00
_cell_angle_gamma 90.00
_symmetry_space_group_name_H-M 'P 4/m m m'
_symmetry_Int_Tables_number 123
_symmetry_space_group_name_Hall '-P 4 2'
loop_
_atom_site_label
_atom_site_type_symbol
_atom_site_fract_x
_atom_site_fract_y
_atom_site_fract_z
Hf1 Hf 0.000 0.000 0.000
Ga1 Ga 0.500 0.500 0.500
O1 O 0.000 0.500 0.500
F1 F 0.500 0.500 0.000
# Raw formation energy (eV per atom): -1.44

***

No. 2
# MnCrRu2 | the Alexandria database | SCAN | PBEsol geometry
data_MnCrRu2
_cell_length_a 2.6063
_cell_length_b 2.6063
_cell_length_c 25.0490
_cell_angle_alpha 90.00
_cell_angle_beta 90.00
_cell_angle_gamma 120.00
_symmetry_space_group_name_H-M 'R -3 m'
_symmetry_Int_Tables_number 166
_symmetry_space_group_name_Hall '-R 3 2"'
loop_
_atom_site_label
_atom_site_type_symbol
_atom_site_fract_x
_atom_site_fract_y
_atom_site_fract_z
Mn1 Mn 0.0000 0.0000 0.0000
Cr1 Cr 0.0000 0.0000 0.5000
Ru1 Ru 0.0000 0.0000 0.2506
# Uncorrected energy (eV per atom): -26.440

***

Here are the calculated volume numbers, same order: 56.8; 147.4 (Å³ per cell).
Here are the calculated magnetization numbers, same order: 1.6; 9.6 (μB per cell).